# SrZrAs2 (meta-GGA SCAN, PBEsol geometry)
data_SrZrAs2
_chemical_formula_sum 'Sr1 Zr1 As2'
_cell_length_a 3.4210
_cell_length_b 3.4210
_cell_length_c 7.4599
_cell_angle_alpha 90.00
_cell_angle_beta 90.00
_cell_angle_gamma 90.00
_space_group_name_H-M_alt 'P 1'
_space_group_IT_number 1
_space_group_name_Hall 'P 1'
loop_
_atom_site_label
_atom_site_fract_x
_atom_site_fract_y
_atom_site_fract_z
Sr1 0.0000 0.0000 0.0000
Zr1 0.0000 0.0000 0.5000
As1 0.5000 0.5000 0.2886
As2 0.5000 0.5000 0.7114
# * DFT formation energy: -0.939 eV per atom
# * VASP energy: -0.8922 Ha/atom
# * total magnetization: 0.0 μB/f.u.
# * relative energy among the computed polymorphs: 376 meV/atom